(1)
{
  "formula": "Cr2CuMo",
  "functional": "PBEsol",
  "state": "optimized geometry",
  "rho_g_cm3": 8.7,
  "spacegroup": "R3m, No. 160",
  "cell": [[2.571, 0.000, 0.000], [1.285, 2.226, 0.000], [1.285, 0.742, 8.812]],
  "species": ["Cr", "Cr", "Cu", "Mo"],
  "frac_coords": [[0.749, 0.749, 0.752], [0.004, 0.004, 0.988], [0.496, 0.496, 0.512], [0.251, 0.251, 0.248]]
}

---

(2)
{
  "formula": "Cr2CuMo",
  "functional": "PBEsol",
  "state": "optimized geometry",
  "rho_g_cm3": 8.8,
  "spacegroup": "Pmm2, No. 25",
  "cell": [[2.431, 0.000, 0.000], [0.000, 3.976, 0.000], [0.000, 0.000, 5.141]],
  "species": ["Cr", "Cr", "Mo", "Cu"],
  "frac_coords": [[0.000, 0.000, 0.012], [0.500, 0.500, 0.246], [0.500, 0.500, 0.750], [0.000, 0.000, 0.492]]
}

---

Energies relative to the most stable structure, in meV/atom: (1) 103; (2) 0.

---

(1)
{
  "formula": "Tl2AgHg",
  "functional": "PBEsol",
  "state": "optimized geometry",
  "rho_g_cm3": 12.6,
  "spacegroup": "P4/mmm, No. 123",
  "cell": [[4.130, 0.000, 0.000], [0.000, 4.776, 0.000], [0.000, 0.000, 4.776]],
  "species": ["Tl", "Tl", "Hg", "Ag"],
  "frac_coords": [[0.000, 0.000, 0.500], [0.000, 0.500, 0.000], [0.500, 0.000, 0.000], [0.500, 0.500, 0.500]]
}

---

(2)
{
  "formula": "Tl2AgHg",
  "functional": "PBEsol",
  "state": "optimized geometry",
  "rho_g_cm3": 12.5,
  "spacegroup": "Pm, No. 6",
  "cell": [[3.556, 0.000, 0.003], [0.000, 4.730, 0.000], [-1.672, 0.000, 5.656]],
  "species": ["Ag", "Tl", "Tl", "Hg"],
  "frac_coords": [[0.296, 0.000, 0.472], [0.723, 0.500, 0.312], [0.034, 0.000, 0.948], [0.446, 0.500, 0.768]]
}

---

Energies relative to the most stable structure, in meV/atom: (1) 28; (2) 0.

---

(1)
{
  "formula": "RuRh2Au",
  "functional": "PBEsol",
  "state": "optimized geometry",
  "rho_g_cm3": 14.7,
  "spacegroup": "P4/mmm, No. 123",
  "cell": [[3.831, 0.000, 0.000], [0.000, 3.854, 0.000], [0.000, 0.000, 3.854]],
  "species": ["Rh", "Rh", "Ru", "Au"],
  "frac_coords": [[0.000, 0.500, 0.000], [0.000, 0.000, 0.500], [0.500, 0.500, 0.500], [0.500, 0.000, 0.000]]
}

---

(2)
{
  "formula": "RuRh2Au",
  "functional": "PBEsol",
  "state": "optimized geometry",
  "rho_g_cm3": 14.7,
  "spacegroup": "R-3m, No. 166",
  "cell": [[-1.795, -0.160, -2.035], [0.315, -1.872, -1.946], [-5.369, -6.442, 3.428]],
  "species": ["Ru", "Au", "Rh", "Rh"],
  "frac_coords": [[0.500, 0.500, 0.500], [0.000, 0.000, 0.000], [0.245, 0.245, 0.265], [0.755, 0.755, 0.735]]
}

---

Energies relative to the most stable structure, in meV/atom: (1) 191; (2) 0.